Tb3Y3Ho8, relaxed, DFT GGA-PBE; distance to the lowest polymorph of the same formula = 0 meV per atom; space group = Immm; raw total energy = -68.379 eV/cell; N(E_F) = 20.74 states/eV/cell; energy of formation from the pure elements = 10.52 kJ per mole of atoms; mass density = 7.7 g/cm3; volume = 447 Å³/f.u.
1.0
-1.0744 -4.4736 3.1740
0.7474 -7.7030 -5.6825
7.5221 -1.1432 5.8564
Tb Y Ho
3 3 8
Cartesian
3.5976 -6.6599 1.6739
0.8345 -5.3669 2.5611
6.3606 -7.9529 0.7868
-0.5372 -2.2368 1.5870
1.9776 -6.5119 -3.5873
6.2920 -2.3343 3.7612
3.6134 -4.5109 4.7083
3.5817 -8.8090 -1.3605
0.6105 -7.4186 -0.4064
6.5847 -5.9013 3.7543
3.8402 -10.2721 1.5864
3.3550 -3.0478 1.7615
5.2472 -8.9097 3.9830
1.9479 -4.4102 -0.6351

=====

Na2CrH2, relaxed, DFT GGA-PBE; distance to the lowest polymorph of the same formula = 0 meV per atom; space group = I4/mmm; raw total energy = -17.373 eV/cell; N(E_F) = 1.55 states/eV/cell; mass density = 1.7 g/cm3; volume = 95 Å³/f.u.
1.0
4.4582 0.0000 0.0000
0.0000 4.4582 0.0000
2.2291 2.2291 4.8042
Cr H Na
1 2 2
Cartesian
0.0000 0.0000 0.0000
2.2291 2.2291 3.0357
4.4582 4.4582 1.7685
4.4582 2.2291 2.4021
2.2291 4.4582 2.4021

=====

HfMnAs2C, relaxed, DFT GGA-PBE; space group = P4/mmm; raw total energy = -36.257 eV/cell; N(E_F) = 2.59 states/eV/cell; energy of formation from the pure elements = 26.80 kJ per mole of atoms; mass density = 8.8 g/cm3; volume = 75 Å³/f.u.
1.0
-3.1145 2.6053 -2.0564
-2.6263 -2.0773 1.3458
-0.2121 2.6580 3.6887
As Mn Hf C
2 1 1 1
Cartesian
-0.1061 1.3290 1.8443
-1.5572 1.3026 -1.0282
-1.3131 -1.0386 0.6729
-2.9764 1.5930 1.4890
0.0000 0.0000 0.0000

=====

Question: Among the records above, which one has the lowest raw total energy?
Answer: Tb3Y3Ho8

=====

Question: Which of these has the highest mass density?
Answer: HfMnAs2C

=====

Question: The highest raw total energy belongs to which entry?
Answer: Na2CrH2